Here is a relaxed structure of AlInTe2 from Alexandria via LeMat-Bulk. Energies are from GGA-PBE.

Values from the calculation:
Total magnetization: 0.00 μB per formula unit
Raw total energy: -12.144 eV per cell
N(E_F): 0.285 states/eV per atom
ΔE_f (raw): 0.16 eV/atom

Unit cell a=3.141 b=5.769 c=6.073 alpha=90.00 beta=99.90 gamma=90.00
Space group P2/m (No. 10)
Symmetry-distinct sites (fractional):
Al 0.000 0.000 0.000 [1 per cell]
In 0.500 0.000 0.500 [1 per cell]
Te 0.232 0.500 0.754 [2 per cell]

=====

Here is a relaxed structure of LiNi2Pd2 from Alexandria via LeMat-Bulk. Energies are from GGA-PBE.

Values from the calculation:
Total magnetization: 1.70 μB per formula unit
Raw total energy: -47.923 eV per cell
N(E_F): 1.853 states/eV per atom
Relative energy among the computed polymorphs: 0.000 eV/atom

Unit cell a=7.284 b=7.284 c=2.706 alpha=90.00 beta=90.00 gamma=90.00
Space group P4/mbm (No. 127)
Symmetry-distinct sites (fractional):
Li 0.000 0.000 0.000 [2 per cell]
Ni 0.116 0.384 0.000 [4 per cell]
Pd 0.181 0.681 0.500 [4 per cell]

=====

Here is a relaxed structure of Zr2TaCo from Alexandria via LeMat-Bulk. Energies are from GGA-PBE.

Values from the calculation:
Total magnetization: 0.00 μB per formula unit
Raw total energy: -70.855 eV per cell
N(E_F): 1.395 states/eV per atom
Relative energy among the computed polymorphs: 0.241 eV/atom

Unit cell a=3.944 b=3.944 c=9.510 alpha=90.00 beta=90.00 gamma=90.00
Space group I-4m2 (No. 119)
Symmetry-distinct sites (fractional):
Zr 0.000 0.000 0.000 [2 per cell]
Zr 0.000 0.500 0.250 [2 per cell]
Ta 0.000 0.000 0.500 [2 per cell]
Co 0.000 0.500 0.750 [2 per cell]